# 1
Computed, not measured: a relaxed structure of Li3LaPb4 at the PBE level of DFT.

Summary:
**ρ**: 8.04 g/cm3
**Volume**: 25.518 Å³ per atom
**Calculated total energy**: -28.230 eV/cell
**Formation enthalpy at 0 K**: -0.3410 eV per atom

a = 5.2256 Å, b = 5.2256 Å, c = 7.4760 Å
α = 90.00°, β = 90.00°, γ = 90.00°
Space group P4/mmm (No. 123)
Symmetry-distinct sites (fractional):
1 Li 0.0000 0.0000 0.0000 [1 per cell]
2 Li 0.0000 0.0000 0.5000 [1 per cell]
3 Li 0.5000 0.5000 0.0000 [1 per cell]
4 La 0.5000 0.5000 0.5000 [1 per cell]
5 Pb 0.0000 0.5000 0.2177 [4 per cell]

---

# 2
Computed, not measured: a relaxed structure of Li4LaPb at the PBE level of DFT.

Summary:
**ρ**: 4.65 g/cm3
**Volume**: 22.234 Å³ per atom
**Calculated total energy**: -68.323 eV/cell
**Formation enthalpy at 0 K**: -0.1316 eV per atom

a = 8.1110 Å, b = 8.1110 Å, c = 8.1110 Å
α = 90.00°, β = 90.00°, γ = 90.00°
Space group F-43m (No. 216)
Symmetry-distinct sites (fractional):
1 Li 0.1244 0.1244 0.1244 [16 per cell]
2 La 0.0000 0.0000 0.5000 [4 per cell]
3 Pb 0.2500 0.2500 0.7500 [4 per cell]

---

# 3
Computed, not measured: a relaxed structure of Li3LaPb at the PBE level of DFT.

Summary:
**ρ**: 3.72 g/cm3
**Relative energy among the computed polymorphs**: 925 meV/atom
**Volume**: 32.745 Å³ per atom
**Calculated total energy**: -9.729 eV/cell
**Formation enthalpy at 0 K**: 0.9297 eV per atom

a = 5.4706 Å, b = 5.4706 Å, c = 5.4706 Å
α = 90.00°, β = 90.00°, γ = 90.00°
Space group Pm-3m (No. 221)
Symmetry-distinct sites (fractional):
1 Li 0.0000 0.0000 0.5000 [3 per cell]
2 La 0.0000 0.0000 0.0000 [1 per cell]
3 Pb 0.5000 0.5000 0.5000 [1 per cell]